{"formula": "Ac2TlSb", "functional": "PBE-GGA", "state": "relaxed", "relative_energy_mev_per_atom": 179, "crystal_system": "trigonal", "space_group": "No. 166", "raw_formation_energy_ev_per_atom": -0.5886, "dos_ef_per_ev_fu": 4.15, "e_tot_ev_per_atom": -4.265, "lattice_angstrom": [[5.472, 0.000, 0.000], [2.736, 4.739, 0.000], [2.736, 1.580, 5.572]], "species": ["Sb", "Ac", "Ac", "Tl"], "fractional_positions": [[0.000, 0.000, 0.000], [0.747, 0.747, 0.758], [0.253, 0.253, 0.242], [0.500, 0.500, 0.500]]}



{"formula": "AcTlZnSb", "functional": "PBE-GGA", "state": "relaxed", "crystal_system": "cubic", "space_group": "No. 216", "raw_formation_energy_ev_per_atom": -0.3093, "dos_ef_per_ev_fu": 2.86, "e_tot_ev_per_atom": -3.277, "lattice_angstrom": [[-1.129, -5.162, -1.683], [-1.390, -3.884, 3.707], [-5.204, -1.906, 0.200]], "species": ["Sb", "Ac", "Tl", "Zn"], "fractional_positions": [[0.500, 0.500, 0.500], [0.750, 0.750, 0.750], [0.250, 0.250, 0.250], [0.000, 0.000, 0.000]]}



{"formula": "AcTmSb", "functional": "PBE-GGA", "state": "relaxed", "relative_energy_mev_per_atom": 117, "crystal_system": "tetragonal", "space_group": "No. 107", "raw_formation_energy_ev_per_atom": -0.5890, "dos_ef_per_ev_fu": 2.45, "e_tot_ev_per_atom": -4.823, "lattice_angstrom": [[4.058, 0.000, 0.000], [0.000, 4.058, 0.000], [-2.029, -2.029, 6.014]], "species": ["Sb", "Ac", "Tm"], "fractional_positions": [[0.591, 0.591, 0.182], [0.276, 0.276, 0.552], [0.983, 0.983, 0.966]]}